[1]
GaGeOs2Se | GGA-PBE | optimized geometry

The structure in POSCAR format:
```
GaGeOs2Se
1.0
-1.581 -1.268 4.093
4.801 0.191 1.913
-0.620 4.384 1.118
Ge Os Ga Se
1 2 1 1
Cartesian
2.400 0.096 0.957
-0.310 2.192 0.559
-0.790 -0.634 2.047
1.300 1.654 3.562
0.000 0.000 0.000
```

Properties
uncorrected formation energy	1545	meV/atom
excess energy over the best structure of this formula in the dataset	0.000	eV/atom

=====

[2]
CePmRe | GGA-PBE | optimized geometry

The structure in POSCAR format:
```
CePmRe
1.0
4.955 1.144 -0.872
1.120 4.961 -0.872
-4.141 -4.161 7.677
Re Pm Ce
2 2 2
Cartesian
2.377 2.389 4.868
-0.443 -0.446 1.065
0.073 0.073 4.198
1.861 1.870 1.735
-2.012 -2.022 5.955
3.945 3.965 -0.022
```

Properties
energy of formation	0.176	eV/atom
excess energy over the best structure of this formula in the dataset	0.000	eV/atom

=====

[3]
BaPCl | GGA-PBE | optimized geometry

The structure in POSCAR format:
```
BaPCl
1.0
5.358 0.000 0.000
2.679 4.640 0.000
2.679 1.547 4.375
Ba Cl P
1 1 1
Cartesian
8.037 4.640 3.281
0.000 0.000 0.000
5.358 3.093 2.187
```

Properties
uncorrected formation energy	-749	meV/atom
excess energy over the best structure of this formula in the dataset	0.727	eV/atom

=====

[4]
Ba4NaHf3O12 | GGA-PBE | optimized geometry

The structure in POSCAR format:
```
Ba4NaHf3O12
1.0
-7.044 0.651 -2.057
3.040 -5.761 -3.440
0.345 -1.028 7.286
Ba Na Hf O
4 1 3 12
Cartesian
-1.829 -3.069 0.895
0.173 -0.514 3.643
-3.522 0.325 -1.029
1.520 -2.881 -1.720
0.000 0.000 0.000
-3.349 -0.189 2.615
-2.002 -2.555 -2.748
1.693 -3.395 1.923
0.018 -3.489 3.231
-4.928 -0.278 3.848
-1.770 -0.100 1.382
-3.676 -2.650 -1.441
-2.946 -3.760 -4.044
-1.058 -1.350 -1.452
-4.350 -1.466 1.240
0.692 -4.672 0.549
-2.503 -1.886 3.576
2.491 -4.996 2.830
-1.155 -4.253 -1.787
0.895 -1.794 1.016
```

Properties
uncorrected formation energy	-2764	meV/atom

=====

no.,raw total energy (eV/atom),N(E_F) (states/eV/f.u.)
1,-5.1730,6.71
2,-7.5351,3.83
3,-3.8091,4.04
4,-7.6826,10.68